VASP calculation (GGA-PBE) on a geometry-optimized GeBS structure.

abc: 4.049 4.049 4.924
angles: 114.28 114.28 90.00
Atoms (fractional coordinates):
Ge1 0.859 0.859 0.718
B1 0.602 0.602 0.205
S1 0.389 0.389 0.777

Output
Raw formation energy in meV/atom: 738
Magnetic moment in μB/cell: 0.00